{
  "formula": "Co3BSb",
  "functional": "PBE-GGA",
  "state": "optimized geometry",
  "final_energy_ev_per_atom": -4.37,
  "polymorph_energy_mev_per_atom": 2071,
  "magmom_total_mub_per_fu": 4.9,
  "lattice": [[4.7009, 0.0000, 0.0000], [0.0000, 4.7009, 0.0000], [0.0000, 0.0000, 4.7009]],
  "species": ["Co", "Co", "Co", "B", "Sb"],
  "frac_coords": [[0.0000, 0.0000, 0.5000], [0.0000, 0.5000, 0.0000], [0.5000, 0.0000, 0.0000], [0.5000, 0.5000, 0.5000], [0.0000, 0.0000, 0.0000]]
}



{
  "formula": "ZrAgAsBr2",
  "functional": "PBE-GGA",
  "state": "optimized geometry",
  "final_energy_ev_per_atom": -4.11,
  "polymorph_energy_mev_per_atom": 0,
  "magmom_total_mub_per_fu": 0.0,
  "lattice": [[5.2911, 0.0000, 0.0000], [0.0000, 5.2911, 0.0000], [0.0000, 0.0000, 5.3505]],
  "species": ["Zr", "Ag", "As", "Br", "Br"],
  "frac_coords": [[0.0000, 0.0000, 0.0000], [0.5000, 0.5000, 0.5000], [0.0000, 0.0000, 0.5000], [0.0000, 0.5000, 0.0000], [0.5000, 0.0000, 0.0000]]
}



{
  "formula": "K6Sb2H",
  "functional": "PBE-GGA",
  "state": "optimized geometry",
  "final_energy_ev_per_atom": -2.30,
  "magmom_total_mub_per_fu": 0.9,
  "lattice": [[-3.8622, 3.8655, 5.4512], [3.8622, -3.8655, 5.4512], [3.8622, 3.8655, -5.4512]],
  "species": ["K", "K", "K", "K", "K", "K", "Sb", "Sb", "H"],
  "frac_coords": [[0.2409, 0.2409, 0.0000], [0.2408, 0.2406, 0.4814], [0.2408, 0.7594, 0.0002], [0.7592, 0.2406, 0.9998], [0.7591, 0.7591, 0.0000], [0.7592, 0.7594, 0.5186], [0.2501, 0.7501, 0.5000], [0.7499, 0.2499, 0.5000], [0.0000, 0.0000, 0.0000]]
}



{
  "formula": "Sm2Al2MoRu5",
  "functional": "PBE-GGA",
  "state": "optimized geometry",
  "final_energy_ev_per_atom": -7.71,
  "formation_enthalpy_0k_kj_per_mol_atoms": -28,
  "magmom_total_mub_per_fu": 0.0,
  "lattice": [[10.2292, 0.0000, 0.0000], [0.0000, 10.2292, 0.0000], [0.0000, 0.0000, 3.2605]],
  "species": ["Sm", "Sm", "Sm", "Sm", "Al", "Al", "Al", "Al", "Mo", "Mo", "Ru", "Ru", "Ru", "Ru", "Ru", "Ru", "Ru", "Ru", "Ru", "Ru"],
  "frac_coords": [[0.1721, 0.3279, 0.0000], [0.3279, 0.8279, 0.0000], [0.6721, 0.1721, 0.0000], [0.8279, 0.6721, 0.0000], [0.1264, 0.6264, 0.0000], [0.3736, 0.1264, 0.0000], [0.6264, 0.8736, 0.0000], [0.8736, 0.3736, 0.0000], [0.0000, 0.0000, 0.0000], [0.5000, 0.5000, 0.0000], [0.0000, 0.5000, 0.5000], [0.0639, 0.8033, 0.5000], [0.1967, 0.0639, 0.5000], [0.3033, 0.5639, 0.5000], [0.4361, 0.3033, 0.5000], [0.5000, 0.0000, 0.5000], [0.5639, 0.6967, 0.5000], [0.6967, 0.4361, 0.5000], [0.8033, 0.9361, 0.5000], [0.9361, 0.1967, 0.5000]]
}